(1)
DFT (PBE) results for a geometry-optimized SrPr2Eu structure.

- energy above the lowest structure with this stoichiometry (meV per atom) = 91
- crystal system = trigonal
- calculated density (g cm⁻³) = 5.3
- calculated formation energy (meV/atom) = 214

Cell and atoms, written as extended XYZ:
```
4
Lattice="3.750 0.000 0.000 1.875 3.247 0.000 1.875 1.082 13.491" Properties=species:S:1:pos:R:3 pbc="T T T"
Eu 3.750 2.165 6.746
Pr 1.875 1.082 9.838
Pr 5.625 3.247 3.653
Sr 0.000 0.000 0.000
```


(2)
DFT (PBE) results for a geometry-optimized SrPr2Eu structure.

- energy above the lowest structure with this stoichiometry (meV per atom) = 0
- crystal system = tetragonal
- calculated density (g cm⁻³) = 5.4
- calculated formation energy (meV/atom) = 122

Cell and atoms, written as extended XYZ:
```
4
Lattice="3.805 0.000 0.000 0.000 3.805 0.000 0.000 0.000 11.128" Properties=species:S:1:pos:R:3 pbc="T T T"
Eu 1.902 1.902 0.000
Pr 0.000 0.000 8.512
Pr 0.000 0.000 2.616
Sr 1.902 1.902 5.564
```


(3)
DFT (PBE) results for a geometry-optimized SrPrEu2 structure.

- energy above the lowest structure with this stoichiometry (meV per atom) = 0
- crystal system = tetragonal
- calculated density (g cm⁻³) = 5.1
- calculated formation energy (meV/atom) = 57

Cell and atoms, written as extended XYZ:
```
4
Lattice="3.904 0.000 0.000 0.000 3.904 0.000 0.000 0.000 11.298" Properties=species:S:1:pos:R:3 pbc="T T T"
Eu 0.000 0.000 8.710
Eu 0.000 0.000 2.588
Pr 1.952 1.952 0.000
Sr 1.952 1.952 5.649
```


(4)
DFT (PBE) results for a geometry-optimized Sr2PrEu structure.

- energy above the lowest structure with this stoichiometry (meV per atom) = 31
- crystal system = cubic
- calculated density (g cm⁻³) = 4.3
- calculated formation energy (meV/atom) = 145

Cell and atoms, written as extended XYZ:
```
4
Lattice="6.354 0.000 0.000 3.177 5.502 0.000 3.177 1.834 5.188" Properties=species:S:1:pos:R:3 pbc="T T T"
Eu 6.354 3.668 2.594
Pr 0.000 0.000 0.000
Sr 3.177 1.834 1.297
Sr 9.530 5.502 3.891
```


(5)
DFT (PBE) results for a geometry-optimized SrTbPrEu structure.

- crystal system = cubic
- calculated density (g cm⁻³) = 5.7
- calculated formation energy (meV/atom) = 187

Cell and atoms, written as extended XYZ:
```
4
Lattice="6.064 0.000 0.000 3.032 5.251 0.000 3.032 1.750 4.951" Properties=species:S:1:pos:R:3 pbc="T T T"
Eu 6.064 3.501 2.476
Pr 0.000 0.000 0.000
Tb 9.096 5.251 3.713
Sr 3.032 1.750 1.238
```


(6)
DFT (PBE) results for a geometry-optimized SrPrEuTl structure.

- crystal system = cubic
- calculated density (g cm⁻³) = 6.9
- calculated formation energy (meV/atom) = -61

Cell and atoms, written as extended XYZ:
```
4
Lattice="-3.142 -4.597 1.783 1.545 -2.897 4.837 -3.285 0.397 4.820" Properties=species:S:1:pos:R:3 pbc="T T T"
Eu 0.000 0.000 0.000
Pr -3.661 -5.323 8.581
Tl -2.441 -3.548 5.721
Sr -1.220 -1.774 2.860
```


(7)
DFT (PBE) results for a geometry-optimized Pr2EuTa structure.

- crystal system = trigonal
- calculated density (g cm⁻³) = 8.5
- calculated formation energy (meV/atom) = 730

Cell and atoms, written as extended XYZ:
```
4
Lattice="-3.298 -0.491 -0.138 -1.425 -0.963 -2.860 0.076 -12.466 2.211" Properties=species:S:1:pos:R:3 pbc="T T T"
Eu -2.323 -6.960 -0.394
Pr -0.314 -9.630 1.451
Pr -4.332 -4.290 -2.238
Ta 0.000 0.000 0.000
```


(8)
DFT (PBE) results for a geometry-optimized TbPr4Eu structure.

- crystal system = cubic
- calculated density (g cm⁻³) = 6.4
- calculated formation energy (meV/atom) = 232

Cell and atoms, written as extended XYZ:
```
6
Lattice="6.858 0.000 0.000 3.429 5.939 0.000 3.429 1.980 5.600" Properties=species:S:1:pos:R:3 pbc="T T T"
Eu 3.429 1.980 1.400
Pr 6.858 3.960 0.664
Pr 6.858 1.946 3.512
Pr 8.602 4.967 3.512
Pr 5.114 4.967 3.512
Tb 0.000 0.000 0.000
```


Question: What is the formula in the fifth record?
Answer: SrTbPrEu